Entry 1:
## ScFeCl (GGA-PBE)

Data for ScFeCl after structural relaxation.

a b c (Å): 3.940 3.940 3.227
angles (deg): 90.00 90.00 120.00
Element x y z (fractional)
Sc: 0.000 0.000 0.000
Fe: 0.333 0.667 0.500
Cl: 0.667 0.333 0.500

- Total magnetization: 0.22 μB per formula unit
- Total DFT energy (no corrections): -5.711 eV/atom
- Raw formation energy: -164 meV per atom
- V: 43.4 Å³ per cell
- Space group: P-6m2 (187)

---

Entry 2:
## Sm2DyAu2 (GGA-PBE)

Data for Sm2DyAu2 after structural relaxation.

a b c (Å): 8.279 8.279 3.864
angles (deg): 90.00 90.00 90.00
Element x y z (fractional)
Sm: 0.165 0.335 0.000
Sm: 0.335 0.835 0.000
Sm: 0.665 0.165 0.000
Sm: 0.835 0.665 0.000
Dy: 0.000 0.000 0.500
Dy: 0.500 0.500 0.500
Au: 0.131 0.631 0.500
Au: 0.369 0.131 0.500
Au: 0.631 0.869 0.500
Au: 0.869 0.369 0.500

- Total magnetization: 0.00 μB per formula unit
- Total DFT energy (no corrections): -4.787 eV/atom
- DFT formation energy: -668 meV per atom
- V: 264.9 Å³ per cell
- Space group: P4/mbm (127)